# CsCuNF2 GGA-PBE relaxed
# SG: P4/mmm
# Calculated density (g/cm3): 5.14
# Calculated volume (A^3/atom): 16.04
# Excess energy over the best structure of this formula in the dataset (meV/atom): 0
# Spin magnetization (μB per formula unit): 2.26
data_CsCuNF2
_chemical_formula_sum 'Cs1 Cu1 N1 F2'
_cell_length_a 4.592
_cell_length_b 4.592
_cell_length_c 3.804
_cell_angle_alpha 90.00
_cell_angle_beta 90.00
_cell_angle_gamma 90.00
_symmetry_space_group_name_H-M 'P 1'
_symmetry_Int_Tables_number 1
_symmetry_space_group_name_Hall 'P 1'
loop_
_atom_site_label
_atom_site_type_symbol
_atom_site_fract_x
_atom_site_fract_y
_atom_site_fract_z
Cs1 Cs 0.500 0.500 0.500
N1 N 0.000 0.000 0.500
Cu1 Cu 0.000 0.000 0.000
F1 F 0.000 0.500 0.000
F2 F 0.500 0.000 0.000

***

# CsCuNF2 GGA-PBE relaxed
# SG: P4/mmm
# Calculated density (g/cm3): 3.14
# Calculated volume (A^3/atom): 26.31
# Excess energy over the best structure of this formula in the dataset (meV/atom): 1404
# Spin magnetization (μB per formula unit): 2.02
data_CsCuNF2
_chemical_formula_sum 'Cs1 Cu1 N1 F2'
_cell_length_a 5.261
_cell_length_b 5.261
_cell_length_c 4.754
_cell_angle_alpha 90.00
_cell_angle_beta 90.00
_cell_angle_gamma 90.00
_symmetry_space_group_name_H-M 'P 1'
_symmetry_Int_Tables_number 1
_symmetry_space_group_name_Hall 'P 1'
loop_
_atom_site_label
_atom_site_type_symbol
_atom_site_fract_x
_atom_site_fract_y
_atom_site_fract_z
Cs1 Cs 0.000 0.000 0.000
N1 N 0.000 0.000 0.500
Cu1 Cu 0.500 0.500 0.500
F1 F 0.000 0.500 0.000
F2 F 0.500 0.000 0.000

***

# CsNaCuF4 GGA-PBE relaxed
# SG: I-4
# Final energy (eV/atom): -4.1814
# Calculated density (g/cm3): 3.21
# Calculated volume (A^3/atom): 21.85
# Spin magnetization (μB per formula unit): 0.86
data_CsNaCuF4
_chemical_formula_sum 'Cs1 Na1 Cu1 F4'
_cell_length_a 6.348
_cell_length_b 6.348
_cell_length_c 5.878
_cell_angle_alpha 122.68
_cell_angle_beta 122.68
_cell_angle_gamma 90.00
_symmetry_space_group_name_H-M 'P 1'
_symmetry_Int_Tables_number 1
_symmetry_space_group_name_Hall 'P 1'
loop_
_atom_site_label
_atom_site_type_symbol
_atom_site_fract_x
_atom_site_fract_y
_atom_site_fract_z
Cs1 Cs 0.000 0.000 0.000
Na1 Na 0.500 0.500 0.000
Cu1 Cu 0.250 0.750 0.500
F1 F 0.176 0.069 0.628
F2 F 0.441 0.824 0.372
F3 F 0.452 0.559 0.628
F4 F 0.931 0.548 0.372

***

# Cs3NaCu2F9 GGA-PBE relaxed
# SG: P-3m1
# Final energy (eV/atom): -4.1139
# Calculated density (g/cm3): 4.85
# Calculated volume (A^3/atom): 16.41
# Spin magnetization (μB per formula unit): 3.03
data_Cs3NaCu2F9
_chemical_formula_sum 'Cs3 Na1 Cu2 F9'
_cell_length_a 6.137
_cell_length_b 6.137
_cell_length_c 7.549
_cell_angle_alpha 90.00
_cell_angle_beta 90.00
_cell_angle_gamma 120.00
_symmetry_space_group_name_H-M 'P 1'
_symmetry_Int_Tables_number 1
_symmetry_space_group_name_Hall 'P 1'
loop_
_atom_site_label
_atom_site_type_symbol
_atom_site_fract_x
_atom_site_fract_y
_atom_site_fract_z
Cs1 Cs 0.333 0.667 0.660
Cs2 Cs 0.000 0.000 0.000
Cs3 Cs 0.667 0.333 0.340
Na1 Na 0.000 0.000 0.500
Cu1 Cu 0.333 0.667 0.158
Cu2 Cu 0.667 0.333 0.842
F1 F 0.818 0.182 0.693
F2 F 0.818 0.636 0.693
F3 F 0.364 0.182 0.693
F4 F 0.636 0.818 0.307
F5 F 0.182 0.364 0.307
F6 F 0.182 0.818 0.307
F7 F 0.500 0.000 0.000
F8 F 0.000 0.500 0.000
F9 F 0.500 0.500 0.000

***

# CsNa4Cu3F12 GGA-PBE relaxed
# SG: Im-3
# Final energy (eV/atom): -4.2093
# Calculated density (g/cm3): 3.72
# Calculated volume (A^3/atom): 14.36
# Spin magnetization (μB per formula unit): 2.00
data_CsNa4Cu3F12
_chemical_formula_sum 'Cs1 Na4 Cu3 F12'
_cell_length_a 7.200
_cell_length_b 7.200
_cell_length_c 7.200
_cell_angle_alpha 109.47
_cell_angle_beta 109.47
_cell_angle_gamma 109.47
_symmetry_space_group_name_H-M 'P 1'
_symmetry_Int_Tables_number 1
_symmetry_space_group_name_Hall 'P 1'
loop_
_atom_site_label
_atom_site_type_symbol
_atom_site_fract_x
_atom_site_fract_y
_atom_site_fract_z
Cs1 Cs 0.000 0.000 0.000
Na1 Na 0.500 0.000 0.000
Na2 Na 0.500 0.500 0.500
Na3 Na 0.000 0.500 0.000
Na4 Na 0.000 0.000 0.500
Cu1 Cu 0.000 0.500 0.500
Cu2 Cu 0.500 0.500 0.000
Cu3 Cu 0.500 0.000 0.500
F1 F 0.339 0.843 0.182
F2 F 0.661 0.157 0.818
F3 F 0.661 0.843 0.504
F4 F 0.818 0.661 0.157
F5 F 0.843 0.182 0.339
F6 F 0.157 0.496 0.339
F7 F 0.496 0.339 0.157
F8 F 0.157 0.818 0.661
F9 F 0.339 0.157 0.496
F10 F 0.182 0.339 0.843
F11 F 0.843 0.504 0.661
F12 F 0.504 0.661 0.843

***

# Cs3NaCu2F6 GGA-PBE relaxed
# SG: P-3m1
# Final energy (eV/atom): -4.0128
# Calculated density (g/cm3): 3.94
# Calculated volume (A^3/atom): 23.31
# Spin magnetization (μB per formula unit): 0.23
data_Cs3NaCu2F6
_chemical_formula_sum 'Cs3 Na1 Cu2 F6'
_cell_length_a 6.517
_cell_length_b 6.517
_cell_length_c 7.603
_cell_angle_alpha 90.00
_cell_angle_beta 90.00
_cell_angle_gamma 120.00
_symmetry_space_group_name_H-M 'P 1'
_symmetry_Int_Tables_number 1
_symmetry_space_group_name_Hall 'P 1'
loop_
_atom_site_label
_atom_site_type_symbol
_atom_site_fract_x
_atom_site_fract_y
_atom_site_fract_z
Cs1 Cs 0.333 0.667 0.691
Cs2 Cs 0.667 0.333 0.309
Cs3 Cs 0.000 0.000 0.000
Na1 Na 0.000 0.000 0.500
Cu1 Cu 0.667 0.333 0.729
Cu2 Cu 0.333 0.667 0.271
F1 F 0.677 0.839 0.302
F2 F 0.161 0.323 0.302
F3 F 0.161 0.839 0.302
F4 F 0.839 0.677 0.698
F5 F 0.323 0.161 0.698
F6 F 0.839 0.161 0.698

***

# CsNa2CuF4 GGA-PBE relaxed
# SG: Cmcm
# Final energy (eV/atom): -4.1025
# Calculated density (g/cm3): 3.77
# Calculated volume (A^3/atom): 17.51
# Spin magnetization (μB per formula unit): 0.00
data_CsNa2CuF4
_chemical_formula_sum 'Cs2 Na4 Cu2 F8'
_cell_length_a 3.724
_cell_length_b 6.573
_cell_length_c 11.935
_cell_angle_alpha 90.00
_cell_angle_beta 90.00
_cell_angle_gamma 106.46
_symmetry_space_group_name_H-M 'P 1'
_symmetry_Int_Tables_number 1
_symmetry_space_group_name_Hall 'P 1'
loop_
_atom_site_label
_atom_site_type_symbol
_atom_site_fract_x
_atom_site_fract_y
_atom_site_fract_z
Cs1 Cs 0.068 0.136 0.750
Cs2 Cs 0.932 0.864 0.250
Na1 Na 0.368 0.735 0.550
Na2 Na 0.632 0.265 0.050
Na3 Na 0.632 0.265 0.450
Na4 Na 0.368 0.735 0.950
Cu1 Cu 0.780 0.560 0.750
Cu2 Cu 0.220 0.440 0.250
F1 F 0.244 0.488 0.095
F2 F 0.756 0.512 0.595
F3 F 0.756 0.512 0.905
F4 F 0.244 0.488 0.405
F5 F 0.000 0.000 0.500
F6 F 0.000 0.000 0.000
F7 F 0.400 0.799 0.750
F8 F 0.600 0.201 0.250

***

# CsNbCu2F8 GGA-PBE relaxed
# SG: R32
# Final energy (eV/atom): -5.0912
# Calculated density (g/cm3): 3.79
# Calculated volume (A^3/atom): 18.45
# Spin magnetization (μB per formula unit): 0.23
data_CsNbCu2F8
_chemical_formula_sum 'Cs1 Nb1 Cu2 F8'
_cell_length_a 5.476
_cell_length_b 5.476
_cell_length_c 9.094
_cell_angle_alpha 72.48
_cell_angle_beta 72.48
_cell_angle_gamma 60.00
_symmetry_space_group_name_H-M 'P 1'
_symmetry_Int_Tables_number 1
_symmetry_space_group_name_Hall 'P 1'
loop_
_atom_site_label
_atom_site_type_symbol
_atom_site_fract_x
_atom_site_fract_y
_atom_site_fract_z
Cs1 Cs 0.000 0.000 0.000
Nb1 Nb 0.500 0.500 0.500
Cu1 Cu 0.733 0.733 0.801
Cu2 Cu 0.267 0.267 0.199
F1 F 0.661 0.661 0.016
F2 F 0.339 0.339 0.984
F3 F 0.421 0.341 0.364
F4 F 0.659 0.579 0.636
F5 F 0.125 0.659 0.636
F6 F 0.341 0.875 0.364
F7 F 0.875 0.421 0.364
F8 F 0.579 0.125 0.636

***

# Cs2NdCuF6 GGA-PBE relaxed
# SG: Fmmm
# Final energy (eV/atom): -5.0677
# Calculated density (g/cm3): 4.60
# Calculated volume (A^3/atom): 21.23
# Spin magnetization (μB per formula unit): 0.07
data_Cs2NdCuF6
_chemical_formula_sum 'Cs2 Nd1 Cu1 F6'
_cell_length_a 6.544
_cell_length_b 6.544
_cell_length_c 7.104
_cell_angle_alpha 57.29
_cell_angle_beta 57.28
_cell_angle_gamma 80.06
_symmetry_space_group_name_H-M 'P 1'
_symmetry_Int_Tables_number 1
_symmetry_space_group_name_Hall 'P 1'
loop_
_atom_site_label
_atom_site_type_symbol
_atom_site_fract_x
_atom_site_fract_y
_atom_site_fract_z
Cs1 Cs 0.750 0.250 0.500
Cs2 Cs 0.250 0.750 0.500
Nd1 Nd 0.000 0.000 0.000
Cu1 Cu 0.500 0.500 0.000
F1 F 0.226 0.226 0.549
F2 F 0.774 0.774 0.000
F3 F 0.275 0.725 0.000
F4 F 0.725 0.275 0.000
F5 F 0.226 0.226 0.000
F6 F 0.774 0.774 0.451

***

- Number 9 is which compound?
  Cs2NdCuF6

***

- Look up the calculated volume of the seventh one.
  17.51 A^3/atom

***

Repeat the sixth record exactly.
# Cs3NaCu2F6 GGA-PBE relaxed
# SG: P-3m1
# Final energy (eV/atom): -4.0128
# Calculated density (g/cm3): 3.94
# Calculated volume (A^3/atom): 23.31
# Spin magnetization (μB per formula unit): 0.23
data_Cs3NaCu2F6
_chemical_formula_sum 'Cs3 Na1 Cu2 F6'
_cell_length_a 6.517
_cell_length_b 6.517
_cell_length_c 7.603
_cell_angle_alpha 90.00
_cell_angle_beta 90.00
_cell_angle_gamma 120.00
_symmetry_space_group_name_H-M 'P 1'
_symmetry_Int_Tables_number 1
_symmetry_space_group_name_Hall 'P 1'
loop_
_atom_site_label
_atom_site_type_symbol
_atom_site_fract_x
_atom_site_fract_y
_atom_site_fract_z
Cs1 Cs 0.333 0.667 0.691
Cs2 Cs 0.667 0.333 0.309
Cs3 Cs 0.000 0.000 0.000
Na1 Na 0.000 0.000 0.500
Cu1 Cu 0.667 0.333 0.729
Cu2 Cu 0.333 0.667 0.271
F1 F 0.677 0.839 0.302
F2 F 0.161 0.323 0.302
F3 F 0.161 0.839 0.302
F4 F 0.839 0.677 0.698
F5 F 0.323 0.161 0.698
F6 F 0.839 0.161 0.698

***

- What is the formula in the third record?
  CsNaCuF4